# 1
Below is an optimized crystal structure of GdMg2PdAu4, with properties calculated at the PBE level.

abc: 4.771 4.771 6.780
angles: 90.00 90.00 90.00
Space group P4/mmm (No. 123)
Symmetry-distinct sites (fractional):
Gd 0.000 0.000 0.000 (multiplicity 1)
Mg 0.000 0.000 0.500 (multiplicity 1)
Mg 0.500 0.500 0.000 (multiplicity 1)
Pd 0.500 0.500 0.500 (multiplicity 1)
Au 0.000 0.500 0.264 (multiplicity 4)

Summary:
M_tot (μB per formula unit): 0.02
Volume (A^3/atom): 19.292
Theoretical density (g cm⁻³): 11.8

# 2
Below is an optimized crystal structure of Gd6IrSe2, with properties calculated at the PBE level.

abc: 8.1808 8.1808 3.9131
angles: 90.00 90.00 120.00
Space group P-62m (No. 189)
Symmetry-distinct sites (fractional):
Gd 0.0000 0.2490 0.0000 (multiplicity 3)
Gd 0.0000 0.5918 0.5000 (multiplicity 3)
Ir 0.0000 0.0000 0.5000 (multiplicity 1)
Se 0.3333 0.6667 0.0000 (multiplicity 2)

Summary:
M_tot (μB per formula unit): 0.06
Volume (A^3/atom): 25.200
Theoretical density (g cm⁻³): 9.5

# 3
Below is an optimized crystal structure of NdGa4Co9, with properties calculated at the PBE level.

abc: 7.970 7.970 11.709
angles: 90.00 90.00 90.00
Space group I4/mcm (No. 140)
Symmetry-distinct sites (fractional):
Nd 0.000 0.000 0.250 (multiplicity 4)
Ga 0.179 0.321 0.126 (multiplicity 16)
Co 0.000 0.500 0.000 (multiplicity 4)
Co 0.062 0.198 0.500 (multiplicity 16)
Co 0.114 0.386 0.325 (multiplicity 16)

Summary:
M_tot (μB per formula unit): 7.51
Volume (A^3/atom): 13.281
Theoretical density (g cm⁻³): 8.5

# 4
Below is an optimized crystal structure of UZnIn, with properties calculated at the PBE level.

abc: 6.695 6.695 6.695
angles: 90.00 90.00 90.00
Space group F-43m (No. 216)
Symmetry-distinct sites (fractional):
U 0.000 0.000 0.000 (multiplicity 4)
Zn 0.250 0.250 0.750 (multiplicity 4)
In 0.000 0.000 0.500 (multiplicity 4)

Summary:
M_tot (μB per formula unit): 2.88
Volume (A^3/atom): 25.009
Theoretical density (g cm⁻³): 9.3

| no. | total energy (eV/atom) |
| --- | --- |
| 1 | -3.82 |
| 2 | -5.78 |
| 3 | -6.00 |
| 4 | -4.74 |